Ba4HgIr2 | the Alexandria database | GGA-PBE | optimized geometry; uncorrected energy = -3.810 eV per atom; density of states at the Fermi level = 11.9 states/eV/cell; formation energy = -0.95 eV/f.u.; crystal system = orthorhombic; space group = I2_12_12_1, No. 24
1.0
9.1448 1.4608 3.7017
-2.7638 8.2164 4.9233
0.8618 1.4549 9.8270
Ir Ba Hg
4 8 2
Direct
0.5621 0.1874 0.8753
0.4379 0.5626 0.3747
0.4997 0.8750 0.1253
0.5002 0.3750 0.6248
0.2846 0.1635 0.6195
0.2831 0.6541 0.1304
0.7154 0.0958 0.1213
0.7771 0.6348 0.1079
0.2229 0.1155 0.1417
0.7170 0.5864 0.6290
0.7568 0.1148 0.6086
0.2431 0.6351 0.6415
0.5000 0.8738 0.6263
0.0000 0.8761 0.1238

***

Ba14Hg6Ir3 | the Alexandria database | GGA-PBE | optimized geometry; uncorrected energy = -2.686 eV per atom; density of states at the Fermi level = 19.3 states/eV/cell; formation energy = -6.46 eV/f.u.; crystal system = triclinic; space group = P1, No. 1
1.0
-8.0052 0.0179 -0.0024
0.1229 -11.9276 3.0943
0.3127 8.8586 8.1914
Ba Hg Ir
14 6 3
Direct
0.9672 0.0790 0.1880
0.0777 0.6975 0.8371
0.9486 0.0911 0.8556
0.4607 0.2538 0.4734
0.5838 0.6279 0.8282
0.4526 0.2513 0.8133
0.4808 0.0255 0.0125
0.9728 0.2939 0.6450
0.6979 0.7859 0.2319
0.6835 0.7747 0.5969
0.6705 0.4344 0.2185
0.2112 0.5456 0.4357
0.2252 0.5605 0.0721
0.2391 0.9044 0.4538
0.3065 0.8841 0.1612
0.2684 0.8631 0.7119
0.2395 0.2936 0.1108
0.8081 0.4587 0.5109
0.8028 0.4700 0.9605
0.6892 0.0377 0.5547
0.8036 0.8997 0.9138
0.2986 0.4320 0.7460
0.4546 0.6689 0.3347

***

Ba2HgIr | the Alexandria database | GGA-PBE | optimized geometry; uncorrected energy = -3.125 eV per atom; density of states at the Fermi level = 4.5 states/eV/cell; formation energy = 0.51 eV/f.u.; crystal system = cubic; space group = F-43m, No. 216
1.0
5.4194 0.0000 0.0000
2.7097 4.6934 0.0000
2.7097 1.5645 4.4250
Ir Hg Ba
1 1 2
Direct
0.2500 0.2500 0.2500
0.5000 0.5000 0.5000
0.0000 0.0000 0.0000
0.7500 0.7500 0.7500

***

Ba2HgIr | the Alexandria database | GGA-PBE | optimized geometry; uncorrected energy = -3.340 eV per atom; density of states at the Fermi level = 3.1 states/eV/cell; formation energy = -0.35 eV/f.u.; crystal system = orthorhombic; space group = Imm2, No. 44
1.0
-2.0725 -2.1284 -6.3391
1.8512 -1.9201 -6.4727
0.2615 -5.2740 -0.5383
Ir Hg Ba
1 1 2
Direct
0.2344 0.2344 0.2658
0.5661 0.5661 0.4338
0.9481 0.9481 0.0519
0.7514 0.7514 0.7486

***

Ba4HgIr | the Alexandria database | GGA-PBE | optimized geometry; uncorrected energy = -3.046 eV per atom; polymorph energy (0 for the lowest one) = 0 meV/atom; density of states at the Fermi level = 9.4 states/eV/cell; formation energy = -1.42 eV/f.u.; crystal system = monoclinic; space group = C2/c, No. 15
1.0
7.8520 -0.1587 0.0000
-1.5051 8.3809 0.0000
-3.1735 -4.1111 8.4522
Ba Hg Ir
8 2 2
Direct
0.2879 0.9469 0.5868
0.0307 0.8047 0.0760
0.2011 0.3601 0.4132
0.4547 0.7287 0.9240
0.7121 0.0531 0.4132
0.7989 0.6399 0.5868
0.9693 0.1953 0.9240
0.5453 0.2713 0.0760
0.3767 0.6267 0.2533
0.6233 0.3733 0.7467
0.8309 0.0809 0.1617
0.1691 0.9191 0.8383

***

Ba2HgIr | the Alexandria database | GGA-PBE | optimized geometry; uncorrected energy = -3.455 eV per atom; density of states at the Fermi level = 2.2 states/eV/cell; formation energy = -0.81 eV/f.u.; crystal system = monoclinic; space group = Pm, No. 6
1.0
-2.9814 -3.6210 -0.8405
1.9256 -0.6061 -4.2195
4.9639 -4.1476 0.2605
Ir Hg Ba
1 1 2
Direct
0.5000 0.5599 0.7531
0.0000 0.6906 0.4949
0.0000 0.9849 0.9057
0.5000 0.2646 0.3464

***

Ba8Hg2Ir | the Alexandria database | GGA-PBE | optimized geometry; uncorrected energy = -2.435 eV per atom; polymorph energy (0 for the lowest one) = 58 meV/atom; density of states at the Fermi level = 14.5 states/eV/cell; formation energy = -1.94 eV/f.u.; crystal system = monoclinic; space group = C2/m, No. 12
1.0
5.9756 0.0000 0.0000
0.0000 7.9269 0.2565
-2.9878 -3.0941 10.1474
Ba Hg Ir
8 2 1
Direct
0.4143 0.6045 0.8287
0.6490 0.9571 0.2979
0.7852 0.6854 0.5704
0.9680 0.1906 0.9359
0.2148 0.3146 0.4296
0.3510 0.0429 0.7021
0.5857 0.3955 0.1713
0.0320 0.8094 0.0641
0.8093 0.2657 0.6186
0.1907 0.7343 0.3814
0.5000 0.0000 0.0000

***

Ba6Hg2Ir | the Alexandria database | GGA-PBE | optimized geometry; uncorrected energy = -2.651 eV per atom; density of states at the Fermi level = 15.7 states/eV/cell; formation energy = -2.86 eV/f.u.; crystal system = monoclinic; space group = P2_1/c, No. 14
1.0
-4.4958 -0.9593 -6.5384
-0.1060 -8.9182 1.3814
-9.9022 1.0875 6.2608
Ba Hg Ir
12 4 2
Direct
0.1326 0.0320 0.2560
0.1574 0.3011 0.5626
0.1824 0.3327 0.9403
0.3176 0.8327 0.5597
0.3426 0.8011 0.9374
0.3674 0.5320 0.2440
0.8674 0.9680 0.7440
0.8426 0.6989 0.4374
0.8176 0.6673 0.0597
0.6824 0.1673 0.4403
0.6574 0.1989 0.0626
0.6326 0.4680 0.7560
0.0505 0.6141 0.7513
0.4495 0.1141 0.7487
0.5505 0.8859 0.2513
0.9495 0.3859 0.2487
0.5000 0.5000 0.0000
0.0000 0.0000 0.5000

***

Repeat the first record exactly.
Ba4HgIr2 | the Alexandria database | GGA-PBE | optimized geometry; uncorrected energy = -3.810 eV per atom; density of states at the Fermi level = 11.9 states/eV/cell; formation energy = -0.95 eV/f.u.; crystal system = orthorhombic; space group = I2_12_12_1, No. 24
1.0
9.1448 1.4608 3.7017
-2.7638 8.2164 4.9233
0.8618 1.4549 9.8270
Ir Ba Hg
4 8 2
Direct
0.5621 0.1874 0.8753
0.4379 0.5626 0.3747
0.4997 0.8750 0.1253
0.5002 0.3750 0.6248
0.2846 0.1635 0.6195
0.2831 0.6541 0.1304
0.7154 0.0958 0.1213
0.7771 0.6348 0.1079
0.2229 0.1155 0.1417
0.7170 0.5864 0.6290
0.7568 0.1148 0.6086
0.2431 0.6351 0.6415
0.5000 0.8738 0.6263
0.0000 0.8761 0.1238

***

What is the formation energy in the second record?
-6.46 eV/f.u.

***

Which formula does entry 7 have?
Ba8Hg2Ir

***

What is the formula in the third record?
Ba2HgIr